(1)
The following is a DFT calculation (PBEsol) of a relaxed structure of YNiRu2. Values from VASP.

```
&SYSTEM
  ibrav = 0, nat = 4, ntyp = 3
/
ATOMIC_SPECIES
Y 88.91 Y.upf
Ni 58.69 Ni.upf
Ru 101.07 Ru.upf
CELL_PARAMETERS angstrom
3.079 0.000 0.000
0.000 3.079 0.000
0.000 0.000 6.604
ATOMIC_POSITIONS crystal
Y 0.000 0.000 0.000
Ni 0.500 0.500 0.289
Ru 0.000 0.000 0.477
Ru 0.500 0.500 0.689
```

Results
**V**: 15.65 A^3/atom
**Energy above the most stable polymorph in this dataset**: 0 meV/atom

=====

(2)
The following is a DFT calculation (PBEsol) of a relaxed structure of Y2NiRu. Values from VASP.

```
&SYSTEM
  ibrav = 0, nat = 12, ntyp = 3
/
ATOMIC_SPECIES
Y 88.91 Y.upf
Ni 58.69 Ni.upf
Ru 101.07 Ru.upf
CELL_PARAMETERS angstrom
3.486 0.000 0.000
-1.743 3.019 0.000
0.000 0.000 22.786
ATOMIC_POSITIONS crystal
Y 0.000 0.000 0.248
Y 0.000 0.000 0.752
Y 0.333 0.667 0.418
Y 0.333 0.667 0.915
Y 0.667 0.333 0.085
Y 0.667 0.333 0.582
Ni 0.000 0.000 0.500
Ni 0.333 0.667 0.167
Ni 0.667 0.333 0.833
Ru 0.000 0.000 0.000
Ru 0.333 0.667 0.667
Ru 0.667 0.333 0.333
```

Results
**V**: 19.99 A^3/atom

=====

(3)
The following is a DFT calculation (PBEsol) of a relaxed structure of Y2NiRu. Values from VASP.

```
&SYSTEM
  ibrav = 0, nat = 4, ntyp = 3
/
ATOMIC_SPECIES
Y 88.91 Y.upf
Ni 58.69 Ni.upf
Ru 101.07 Ru.upf
CELL_PARAMETERS angstrom
3.724 0.000 0.000
0.000 3.724 0.000
0.000 0.000 5.750
ATOMIC_POSITIONS crystal
Y 0.000 0.000 0.000
Y 0.500 0.500 0.396
Ni 0.000 0.000 0.529
Ru 0.500 0.500 0.860
```

Results
**V**: 19.93 A^3/atom

=====

(4)
The following is a DFT calculation (PBEsol) of a relaxed structure of Y2NiRu. Values from VASP.

```
&SYSTEM
  ibrav = 0, nat = 16, ntyp = 3
/
ATOMIC_SPECIES
Y 88.91 Y.upf
Ni 58.69 Ni.upf
Ru 101.07 Ru.upf
CELL_PARAMETERS angstrom
6.689 0.000 0.000
0.000 6.689 0.000
0.000 0.000 6.689
ATOMIC_POSITIONS crystal
Y 0.250 0.250 0.250
Y 0.250 0.250 0.750
Y 0.250 0.750 0.250
Y 0.250 0.750 0.750
Y 0.750 0.250 0.250
Y 0.750 0.250 0.750
Y 0.750 0.750 0.250
Y 0.750 0.750 0.750
Ni 0.000 0.000 0.000
Ni 0.000 0.500 0.500
Ni 0.500 0.000 0.500
Ni 0.500 0.500 0.000
Ru 0.000 0.000 0.500
Ru 0.000 0.500 0.000
Ru 0.500 0.000 0.000
Ru 0.500 0.500 0.500
```

Results
**V**: 18.71 A^3/atom

=====

(5)
The following is a DFT calculation (PBEsol) of a relaxed structure of YNiRu2. Values from VASP.

```
&SYSTEM
  ibrav = 0, nat = 4, ntyp = 3
/
ATOMIC_SPECIES
Y 88.91 Y.upf
Ni 58.69 Ni.upf
Ru 101.07 Ru.upf
CELL_PARAMETERS angstrom
3.133 0.000 0.000
0.000 3.133 0.000
0.000 0.000 6.317
ATOMIC_POSITIONS crystal
Y 0.000 0.000 0.000
Ni 0.000 0.000 0.500
Ru 0.500 0.500 0.302
Ru 0.500 0.500 0.698
```

Results
**V**: 15.50 A^3/atom
**Energy above the most stable polymorph in this dataset**: 91 meV/atom

=====

(6)
The following is a DFT calculation (PBEsol) of a relaxed structure of YNiRu2. Values from VASP.

```
&SYSTEM
  ibrav = 0, nat = 12, ntyp = 3
/
ATOMIC_SPECIES
Y 88.91 Y.upf
Ni 58.69 Ni.upf
Ru 101.07 Ru.upf
CELL_PARAMETERS angstrom
2.783 0.000 0.000
-1.392 2.410 0.000
0.000 0.000 27.040
ATOMIC_POSITIONS crystal
Y 0.000 0.000 0.000
Y 0.333 0.667 0.667
Y 0.667 0.333 0.333
Ni 0.000 0.000 0.246
Ni 0.333 0.667 0.912
Ni 0.667 0.333 0.579
Ru 0.000 0.000 0.504
Ru 0.000 0.000 0.763
Ru 0.333 0.667 0.171
Ru 0.333 0.667 0.430
Ru 0.667 0.333 0.096
Ru 0.667 0.333 0.838
```

Results
**V**: 15.12 A^3/atom
**Energy above the most stable polymorph in this dataset**: 350 meV/atom

=====

Formation enthalpy at 0 K / eV per atom: 0.12; 0.04; 0.00; -0.33; 0.21; 0.47
E_tot / eV per cell: -32.835; -89.478; -29.973; -125.133; -32.472; -94.310
D(E_F) / states/eV/atom: 1.45; 0.90; 0.53; 0.60; 1.73; 1.39